Record 1
A plane-wave DFT calculation with PBE-GGA was carried out for a relaxed KTcRu2 crystal.

POSCAR file:
```
KTcRu2
1.0
4.241 0.000 0.000
0.000 2.762 0.077
0.000 1.156 7.250
Ru K Tc
2 1 1
direct
0.500 0.441 0.243 Ru
0.000 0.011 0.100 Ru
0.500 0.687 0.756 K
0.000 0.361 0.401 Tc
```

Results
Polymorph energy (0 for the lowest one), kJ per mole of atoms: 25.7
E_tot, eV/f.u.: -26.4
Magnetization, μB/cell: 0.61



Record 2
A plane-wave DFT calculation with PBE-GGA was carried out for a relaxed Rb2SiAgCl6 crystal.

POSCAR file:
```
Rb2SiAgCl6
1.0
-4.518 -5.616 -2.340
5.757 -4.889 0.619
-0.561 -6.098 3.448
Cl Ag Si Rb
6 1 1 2
direct
0.257 0.257 0.486 Cl
0.726 0.726 0.000 Cl
0.274 0.274 0.000 Cl
0.726 0.274 0.000 Cl
0.274 0.726 0.000 Cl
0.743 0.743 0.514 Cl
0.000 0.000 0.000 Ag
0.500 0.500 0.000 Si
0.750 0.250 0.500 Rb
0.250 0.750 0.500 Rb
```

Results
E_tot, eV/f.u.: -32.8
Raw formation energy, meV per atom: -1152
Magnetization, μB/cell: 0.00